Record 1
First-principles (PBE) data for an optimized crystal structure of Ce7TlGa5, as listed in the Alexandria database.

Structure (CIF):
```
data_Ce7TlGa5
_symmetry_space_group_name_H-M 'I m m 2'
_symmetry_Int_Tables_number 44
_cell_length_a 5.9815
_cell_length_b 10.3034
_cell_length_c 10.5790
_cell_angle_alpha 90.00
_cell_angle_beta 90.00
_cell_angle_gamma 90.00
loop_
_symmetry_equiv_pos_as_xyz
'x,y,z'
'-x,-y,z'
'-x,y,z'
'x,-y,z'
'x+1/2,y+1/2,z+1/2'
'-x+1/2,-y+1/2,z+1/2'
'-x+1/2,y+1/2,z+1/2'
'x+1/2,-y+1/2,z+1/2'
loop_
_atom_site_label
_atom_site_fract_x
_atom_site_fract_y
_atom_site_fract_z
Ce1 0.0000 0.0000 0.0000
Ce2 0.0000 0.0000 0.3385
Ce3 0.0000 0.3300 0.1492
Ce4 0.0000 0.3326 0.6632
Ce5 0.0000 0.5000 0.3533
Tl1 0.0000 0.0000 0.6642
Ga1 0.0000 0.5000 0.9053
Ga2 0.2480 0.2516 0.9087
```

Properties
ΔH_f (0 K) in eV/f.u.: -3.99


Record 2
First-principles (PBE) data for an optimized crystal structure of Ce9Tl3Ga2, as listed in the Alexandria database.

Structure (CIF):
```
data_Ce9Tl3Ga2
_symmetry_space_group_name_H-M 'I m m m'
_symmetry_Int_Tables_number 71
_symmetry_space_group_name_Hall '-I 2 2'
_cell_length_a 4.8558
_cell_length_b 11.5527
_cell_length_c 12.7838
_cell_angle_alpha 90.00
_cell_angle_beta 90.00
_cell_angle_gamma 90.00
loop_
_atom_site_label
_atom_site_fract_x
_atom_site_fract_y
_atom_site_fract_z
Ce1 0.0000 0.0000 0.0000
Ce2 0.0000 0.1222 0.2497
Ce3 0.0000 0.3420 0.1340
Tl1 0.0000 0.0000 0.5000
Tl2 0.0000 0.2998 0.5000
Ga1 0.0000 0.5000 0.3432
```

Properties
ΔH_f (0 K) in eV/f.u.: -0.81


Record 3
First-principles (PBE) data for an optimized crystal structure of Ce6Tl3Ga, as listed in the Alexandria database.

Structure (CIF):
```
data_Ce6Tl3Ga
_symmetry_space_group_name_H-M 'P 1 21/c 1'
_symmetry_Int_Tables_number 14
_cell_length_a 5.8458
_cell_length_b 8.8540
_cell_length_c 12.0869
_cell_angle_alpha 90.00
_cell_angle_beta 118.46
_cell_angle_gamma 90.00
loop_
_symmetry_equiv_pos_as_xyz
'x,y,z'
'-x,-y,-z'
'-x,y+1/2,-z+1/2'
'x,-y+1/2,z+1/2'
loop_
_atom_site_label
_atom_site_fract_x
_atom_site_fract_y
_atom_site_fract_z
Ce1 0.0170 0.1397 0.0493
Ce2 0.4354 0.1504 0.4477
Ce3 0.4731 0.6057 0.2592
Tl1 0.0000 0.0000 0.5000
Tl2 0.0496 0.6265 0.7487
Ga1 0.5000 0.0000 0.0000
```

Properties
ΔH_f (0 K) in eV/f.u.: -1.61


Record 4
First-principles (PBE) data for an optimized crystal structure of Ce6TlGa2, as listed in the Alexandria database.

Structure (CIF):
```
data_Ce6TlGa2
_symmetry_space_group_name_H-M 'P 6/m m m'
_symmetry_Int_Tables_number 191
_symmetry_space_group_name_Hall '-P 6 2'
_cell_length_a 8.9903
_cell_length_b 8.9903
_cell_length_c 3.0200
_cell_angle_alpha 90.00
_cell_angle_beta 90.00
_cell_angle_gamma 120.00
loop_
_atom_site_label
_atom_site_fract_x
_atom_site_fract_y
_atom_site_fract_z
Ce1 0.0000 0.3477 0.0000
Tl1 0.0000 0.0000 0.5000
Ga1 0.3333 0.6667 0.5000
```

Properties
ΔH_f (0 K) in eV/f.u.: -1.98
Relative energy among the computed polymorphs in meV per atom: 0.0


Record 5
First-principles (PBE) data for an optimized crystal structure of Ce6Tl5Ga, as listed in the Alexandria database.

Structure (CIF):
```
data_Ce6Tl5Ga
_symmetry_space_group_name_H-M 'C m m m'
_symmetry_Int_Tables_number 65
_symmetry_space_group_name_Hall '-C 2 2'
_cell_length_a 4.8724
_cell_length_b 14.6071
_cell_length_c 9.2865
_cell_angle_alpha 90.00
_cell_angle_beta 90.00
_cell_angle_gamma 90.00
loop_
_atom_site_label
_atom_site_fract_x
_atom_site_fract_y
_atom_site_fract_z
Ce1 0.0000 0.0000 0.2404
Ce2 0.0000 0.3393 0.2447
Tl1 0.0000 0.1669 0.0000
Tl2 0.0000 0.1680 0.5000
Tl3 0.0000 0.5000 0.5000
Ga1 0.0000 0.5000 0.0000
```

Properties
ΔH_f (0 K) in eV/f.u.: -3.24


Record 6
First-principles (PBE) data for an optimized crystal structure of Ce6TlGa2, as listed in the Alexandria database.

Structure (CIF):
```
data_Ce6TlGa2
_symmetry_space_group_name_H-M 'I m m m'
_symmetry_Int_Tables_number 71
_symmetry_space_group_name_Hall '-I 2 2'
_cell_length_a 3.1283
_cell_length_b 8.9538
_cell_length_c 15.7545
_cell_angle_alpha 90.00
_cell_angle_beta 90.00
_cell_angle_gamma 90.00
loop_
_atom_site_label
_atom_site_fract_x
_atom_site_fract_y
_atom_site_fract_z
Ce1 0.0000 0.1607 0.0000
Ce2 0.0000 0.3097 0.1646
Tl1 0.0000 0.0000 0.5000
Ga1 0.0000 0.5000 0.3417
```

Properties
ΔH_f (0 K) in eV/f.u.: -1.42
Relative energy among the computed polymorphs in meV per atom: 61.9


Which formula does entry 1 have? Ce7TlGa5


Which formula does entry 3 have? Ce6Tl3Ga